## ZrPd3Au4 (PBE)

Data for an optimized crystal structure of ZrPd3Au4.

Lattice parameters (Å, degrees): 17.368 3.965 4.138 90.00 103.71 90.00
Positions (direct):
Zr: 0.000 0.000 0.000
Zr: 0.500 0.500 0.000
Pd: 0.000 0.500 0.500
Pd: 0.120 0.500 0.120
Pd: 0.380 0.000 0.880
Pd: 0.500 0.000 0.500
Pd: 0.620 0.000 0.120
Pd: 0.880 0.500 0.880
Au: 0.122 0.000 0.622
Au: 0.245 0.500 0.745
Au: 0.255 0.000 0.255
Au: 0.378 0.500 0.378
Au: 0.622 0.500 0.622
Au: 0.745 0.000 0.745
Au: 0.755 0.500 0.255
Au: 0.878 0.000 0.378

Summary:
**E_form**: -0.41 eV per atom
**Size of the total moment**: 0.00 μB/f.u.
**Raw total energy**: -5.07 eV per atom

## CrHgRu2 (PBE)

Data for an optimized crystal structure of CrHgRu2.

Lattice parameters (Å, degrees): 3.011 4.545 4.642 90.00 90.00 90.00
Positions (direct):
Cr: 0.000 0.000 0.000
Hg: 0.500 0.000 0.500
Ru: 0.000 0.500 0.500
Ru: 0.500 0.500 0.000

Summary:
**E_form**: 0.64 eV per atom
**Size of the total moment**: 2.13 μB/f.u.
**Raw total energy**: -6.48 eV per atom

## GaWSCl2 (PBE)

Data for an optimized crystal structure of GaWSCl2.

Lattice parameters (Å, degrees): 4.695 4.695 4.992 90.00 90.00 90.00
Positions (direct):
Ga: 0.000 0.000 0.000
W: 0.500 0.500 0.500
S: 0.000 0.000 0.500
Cl: 0.000 0.500 0.000
Cl: 0.500 0.000 0.000

Summary:
**Size of the total moment**: 4.47 μB/f.u.
**Raw formation energy**: 0.782 eV per atom
**Raw total energy**: -3.98 eV per atom
**E above lowest polymorph**: 0.9023 eV/atom

## Dy5Tl4Ga (PBE)

Data for an optimized crystal structure of Dy5Tl4Ga.

Lattice parameters (Å, degrees): 3.677 3.677 19.537 90.00 90.00 90.00
Positions (direct):
Dy: 0.000 0.000 0.000
Dy: 0.000 0.000 0.207
Dy: 0.000 0.000 0.412
Dy: 0.000 0.000 0.588
Dy: 0.000 0.000 0.793
Tl: 0.500 0.500 0.104
Tl: 0.500 0.500 0.308
Tl: 0.500 0.500 0.692
Tl: 0.500 0.500 0.896
Ga: 0.500 0.500 0.500

Summary:
**E_form**: -0.39 eV per atom
**Size of the total moment**: 0.00 μB/f.u.
**Raw total energy**: -3.94 eV per atom

## K2FeCuC12 (PBE)

Data for an optimized crystal structure of K2FeCuC12.

Lattice parameters (Å, degrees): 7.143 7.143 7.143 60.00 60.00 60.00
Positions (direct):
K: 0.250 0.250 0.250
K: 0.750 0.750 0.750
Fe: 0.000 0.000 0.000
Cu: 0.500 0.500 0.500
C: 0.189 0.189 0.811
C: 0.189 0.811 0.189
C: 0.189 0.811 0.811
C: 0.312 0.312 0.688
C: 0.312 0.688 0.312
C: 0.312 0.688 0.688
C: 0.688 0.312 0.312
C: 0.688 0.312 0.688
C: 0.688 0.688 0.312
C: 0.811 0.189 0.189
C: 0.811 0.189 0.811
C: 0.811 0.811 0.189

Summary:
**E_form**: 1.25 eV per atom
**Size of the total moment**: 3.09 μB/f.u.
**Raw total energy**: -6.59 eV per atom

## Y2FeTe (PBE)

Data for an optimized crystal structure of Y2FeTe.

Lattice parameters (Å, degrees): 4.271 4.271 10.575 90.00 90.00 90.00
Positions (direct):
Y: 0.000 0.000 0.000
Y: 0.000 0.500 0.250
Y: 0.500 0.000 0.750
Y: 0.500 0.500 0.500
Fe: 0.000 0.500 0.750
Fe: 0.500 0.000 0.250
Te: 0.000 0.000 0.500
Te: 0.500 0.500 0.000

Summary:
**Size of the total moment**: 1.82 μB/f.u.
**Raw formation energy**: -0.248 eV per atom
**Raw total energy**: -6.38 eV per atom
**E above lowest polymorph**: 0.2733 eV/atom

## NaNiS2Cl (PBE)

Data for an optimized crystal structure of NaNiS2Cl.

Lattice parameters (Å, degrees): 4.257 4.257 6.678 90.00 90.00 90.00
Positions (direct):
Na: 0.000 0.000 0.000
Ni: 0.500 0.500 0.500
S: 0.000 0.500 0.500
S: 0.500 0.000 0.500
Cl: 0.500 0.500 0.000

Summary:
**Size of the total moment**: 2.07 μB/f.u.
**Raw formation energy**: -0.341 eV per atom
**Raw total energy**: -3.78 eV per atom
**E above lowest polymorph**: 0.0000 eV/atom

## Ag5S2Cl2 (PBE)

Data for an optimized crystal structure of Ag5S2Cl2.

Lattice parameters (Å, degrees): 7.459 7.459 7.096 110.43 110.43 34.75
Positions (direct):
Ag: 0.000 0.000 0.000
Ag: 0.094 0.094 0.450
Ag: 0.317 0.317 0.046
Ag: 0.683 0.683 0.954
Ag: 0.906 0.906 0.550
S: 0.115 0.115 0.817
S: 0.885 0.885 0.183
Cl: 0.358 0.358 0.678
Cl: 0.642 0.642 0.322

Summary:
**Size of the total moment**: 0.00 μB/f.u.
**Raw formation energy**: -0.176 eV per atom
**Raw total energy**: -3.09 eV per atom
**E above lowest polymorph**: 0.0000 eV/atom

## MgTc (PBE)

Data for an optimized crystal structure of MgTc.

Lattice parameters (Å, degrees): 2.858 2.858 14.104 90.00 90.00 120.00
Positions (direct):
Mg: 0.000 0.000 0.000
Mg: 0.000 0.000 0.329
Mg: 0.333 0.667 0.521
Tc: 0.000 0.000 0.688
Tc: 0.333 0.667 0.166
Tc: 0.333 0.667 0.830

Summary:
**E_form**: 0.18 eV per atom
**Size of the total moment**: 0.00 μB/f.u.
**Raw total energy**: -5.80 eV per atom
**E above lowest polymorph**: 0.2080 eV/atom

## V2NiSb2 (PBE)

Data for an optimized crystal structure of V2NiSb2.

Lattice parameters (Å, degrees): 4.296 4.296 5.474 90.00 90.00 120.00
Positions (direct):
V: 0.000 0.000 0.241
V: 0.000 0.000 0.759
Ni: 0.667 0.333 0.500
Sb: 0.333 0.667 0.500
Sb: 0.667 0.333 0.000

Summary:
**Size of the total moment**: 2.62 μB/f.u.
**Raw formation energy**: -0.069 eV per atom
**Raw total energy**: -6.52 eV per atom

## AlTl4I7 (PBE)

Data for an optimized crystal structure of AlTl4I7.

Lattice parameters (Å, degrees): 10.044 10.044 13.385 127.40 127.40 32.97
Positions (direct):
Al: 0.000 0.000 0.000
Tl: 0.263 0.263 0.648
Tl: 0.386 0.386 0.234
Tl: 0.614 0.614 0.766
Tl: 0.737 0.737 0.352
I: 0.047 0.047 0.223
I: 0.237 0.237 0.869
I: 0.366 0.366 0.478
I: 0.500 0.500 0.000
I: 0.634 0.634 0.522
I: 0.763 0.763 0.131
I: 0.953 0.953 0.777

Summary:
**Size of the total moment**: 0.00 μB/f.u.
**Raw formation energy**: -0.483 eV per atom
**Raw total energy**: -2.49 eV per atom

## HoIn4 (PBE)

Data for an optimized crystal structure of HoIn4.

Lattice parameters (Å, degrees): 5.856 5.856 5.856 90.00 90.00 90.00
Positions (direct):
Ho: 0.000 0.000 0.000
In: 0.000 0.000 0.500
In: 0.000 0.500 0.000
In: 0.500 0.000 0.000
In: 0.500 0.500 0.500

Summary:
**E_form**: 0.52 eV per atom
**Size of the total moment**: 0.00 μB/f.u.
**Raw total energy**: -2.59 eV per atom
**E above lowest polymorph**: 0.4511 eV/atom

## AcMg4Ga2 (PBE)

Data for an optimized crystal structure of AcMg4Ga2.

Lattice parameters (Å, degrees): 8.617 8.617 4.518 90.00 90.00 90.00
Positions (direct):
Ac: 0.000 0.000 0.000
Ac: 0.500 0.500 0.500
Mg: 0.091 0.338 0.500
Mg: 0.162 0.591 0.000
Mg: 0.338 0.091 0.500
Mg: 0.409 0.838 0.000
Mg: 0.591 0.162 0.000
Mg: 0.662 0.909 0.500
Mg: 0.838 0.409 0.000
Mg: 0.909 0.662 0.500
Ga: 0.211 0.789 0.500
Ga: 0.289 0.289 0.000
Ga: 0.711 0.711 0.000
Ga: 0.789 0.211 0.500

Summary:
**E_form**: -0.29 eV per atom
**Size of the total moment**: 0.00 μB/f.u.
**Raw total energy**: -2.65 eV per atom
**E above lowest polymorph**: 0.0213 eV/atom

## Nd2CuGe2Rh5 (PBE)

Data for an optimized crystal structure of Nd2CuGe2Rh5.

Lattice parameters (Å, degrees): 9.896 9.896 3.571 90.00 90.00 90.00
Positions (direct):
Nd: 0.174 0.326 0.000
Nd: 0.326 0.826 0.000
Nd: 0.674 0.174 0.000
Nd: 0.826 0.674 0.000
Cu: 0.000 0.000 0.000
Cu: 0.500 0.500 0.000
Ge: 0.125 0.625 0.000
Ge: 0.375 0.125 0.000
Ge: 0.625 0.875 0.000
Ge: 0.875 0.375 0.000
Rh: 0.000 0.500 0.500
Rh: 0.064 0.795 0.500
Rh: 0.205 0.064 0.500
Rh: 0.295 0.564 0.500
Rh: 0.436 0.295 0.500
Rh: 0.500 0.000 0.500
Rh: 0.564 0.705 0.500
Rh: 0.705 0.436 0.500
Rh: 0.795 0.936 0.500
Rh: 0.936 0.205 0.500

Summary:
**E_form**: -0.58 eV per atom
**Size of the total moment**: 0.00 μB/f.u.
**Raw total energy**: -6.54 eV per atom

## LaBe2Cr (PBE)

Data for an optimized crystal structure of LaBe2Cr.

Lattice parameters (Å, degrees): 4.722 4.722 3.142 90.00 90.00 90.00
Positions (direct):
La: 0.000 0.000 0.000
Be: 0.000 0.500 0.500
Be: 0.500 0.000 0.500
Cr: 0.500 0.500 0.000

Summary:
**E_form**: 0.69 eV per atom
**Size of the total moment**: 3.52 μB/f.u.
**Raw total energy**: -4.81 eV per atom
**E above lowest polymorph**: 0.4956 eV/atom

## Ce2PmPr (PBE)

Data for an optimized crystal structure of Ce2PmPr.

Lattice parameters (Å, degrees): 3.555 3.555 35.262 90.00 90.00 120.00
Positions (direct):
Ce: 0.000 0.000 0.000
Ce: 0.000 0.000 0.165
Ce: 0.333 0.667 0.667
Ce: 0.333 0.667 0.832
Ce: 0.667 0.333 0.333
Ce: 0.667 0.333 0.499
Pm: 0.000 0.000 0.750
Pm: 0.333 0.667 0.417
Pm: 0.667 0.333 0.083
Pr: 0.000 0.000 0.581
Pr: 0.333 0.667 0.248
Pr: 0.667 0.333 0.915

Summary:
**E_form**: 0.12 eV per atom
**Size of the total moment**: 1.51 μB/f.u.
**Raw total energy**: -5.23 eV per atom
**E above lowest polymorph**: 0.0000 eV/atom

## Mn5Pt4 (PBE)

Data for an optimized crystal structure of Mn5Pt4.

Lattice parameters (Å, degrees): 7.715 7.715 5.385 90.00 90.00 120.00
Positions (direct):
Mn: 0.000 0.303 0.250
Mn: 0.000 0.697 0.750
Mn: 0.303 0.000 0.250
Mn: 0.303 0.303 0.750
Mn: 0.333 0.667 0.000
Mn: 0.333 0.667 0.500
Mn: 0.667 0.333 0.000
Mn: 0.667 0.333 0.500
Mn: 0.697 0.000 0.750
Mn: 0.697 0.697 0.250
Pt: 0.000 0.000 0.000
Pt: 0.000 0.000 0.500
Pt: 0.000 0.369 0.750
Pt: 0.000 0.631 0.250
Pt: 0.369 0.000 0.750
Pt: 0.369 0.369 0.250
Pt: 0.631 0.000 0.250
Pt: 0.631 0.631 0.750

Summary:
**E_form**: -0.17 eV per atom
**Size of the total moment**: 20.56 μB/f.u.
**Raw total energy**: -7.95 eV per atom
**E above lowest polymorph**: 0.1048 eV/atom

## Ti8Zn2Co (PBE)

Data for an optimized crystal structure of Ti8Zn2Co.

Lattice parameters (Å, degrees): 7.165 7.165 6.237 111.92 111.92 36.75
Positions (direct):
Ti: 0.011 0.011 0.265
Ti: 0.179 0.179 0.736
Ti: 0.349 0.349 0.593
Ti: 0.400 0.400 0.071
Ti: 0.600 0.600 0.929
Ti: 0.651 0.651 0.407
Ti: 0.821 0.821 0.264
Ti: 0.989 0.989 0.735
Zn: 0.188 0.188 0.172
Zn: 0.812 0.812 0.828
Co: 0.500 0.500 0.500

Summary:
**E_form**: -0.06 eV per atom
**Size of the total moment**: 0.00 μB/f.u.
**Raw total energy**: -6.68 eV per atom

## Bi3S3O (PBE)

Data for an optimized crystal structure of Bi3S3O.

Lattice parameters (Å, degrees): 7.040 7.040 7.477 94.41 94.41 112.30
Positions (direct):
Bi: 0.109 0.109 0.296
Bi: 0.163 0.484 0.751
Bi: 0.484 0.163 0.751
Bi: 0.516 0.837 0.249
Bi: 0.837 0.516 0.249
Bi: 0.891 0.891 0.704
S: 0.158 0.842 0.000
S: 0.244 0.756 0.500
S: 0.426 0.426 0.190
S: 0.574 0.574 0.810
S: 0.756 0.244 0.500
S: 0.842 0.158 0.000
O: 0.185 0.185 0.623
O: 0.815 0.815 0.377

Summary:
**Size of the total moment**: 0.00 μB/f.u.
**Raw formation energy**: -0.397 eV per atom
**Raw total energy**: -4.54 eV per atom
**E above lowest polymorph**: 0.0418 eV/atom

## MnTlSn2 (PBE)

Data for an optimized crystal structure of MnTlSn2.

Lattice parameters (Å, degrees): 3.304 3.304 8.948 90.00 90.00 90.00
Positions (direct):
Mn: 0.000 0.000 0.000
Tl: 0.000 0.000 0.500
Sn: 0.500 0.500 0.195
Sn: 0.500 0.500 0.805

Summary:
**E_form**: 0.12 eV per atom
**Size of the total moment**: 3.51 μB/f.u.
**Raw total energy**: -4.76 eV per atom
**E above lowest polymorph**: 0.0000 eV/atom

## Li2CeCdAu2 (PBE)

Data for an optimized crystal structure of Li2CeCdAu2.

Lattice parameters (Å, degrees): 4.571 4.571 6.752 90.00 90.00 120.00
Positions (direct):
Li: 0.333 0.667 0.159
Li: 0.667 0.333 0.841
Ce: 0.000 0.000 0.500
Cd: 0.000 0.000 0.000
Au: 0.333 0.667 0.758
Au: 0.667 0.333 0.242

Summary:
**E_form**: -0.48 eV per atom
**Size of the total moment**: 1.05 μB/f.u.
**Raw total energy**: -3.36 eV per atom

## Y2AlCo3 (PBE)

Data for an optimized crystal structure of Y2AlCo3.

Lattice parameters (Å, degrees): 5.290 5.290 8.001 90.00 90.00 120.00
Positions (direct):
Y: 0.333 0.667 0.063
Y: 0.333 0.667 0.437
Y: 0.667 0.333 0.563
Y: 0.667 0.333 0.937
Al: 0.000 0.000 0.000
Al: 0.000 0.000 0.500
Co: 0.172 0.345 0.750
Co: 0.172 0.828 0.750
Co: 0.345 0.172 0.250
Co: 0.655 0.828 0.750
Co: 0.828 0.172 0.250
Co: 0.828 0.655 0.250

Summary:
**E_form**: -0.30 eV per atom
**Size of the total moment**: 1.20 μB/f.u.
**Raw total energy**: -6.63 eV per atom
**E above lowest polymorph**: 0.0000 eV/atom

## AcDyMgSn (PBE)

Data for an optimized crystal structure of AcDyMgSn.

Lattice parameters (Å, degrees): 7.846 7.846 7.846 90.00 90.00 90.00
Positions (direct):
Ac: 0.000 0.000 0.000
Ac: 0.000 0.500 0.500
Ac: 0.500 0.000 0.500
Ac: 0.500 0.500 0.000
Dy: 0.000 0.000 0.500
Dy: 0.000 0.500 0.000
Dy: 0.500 0.000 0.000
Dy: 0.500 0.500 0.500
Mg: 0.250 0.250 0.750
Mg: 0.250 0.750 0.250
Mg: 0.750 0.250 0.250
Mg: 0.750 0.750 0.750
Sn: 0.250 0.250 0.250
Sn: 0.250 0.750 0.750
Sn: 0.750 0.250 0.750
Sn: 0.750 0.750 0.250

Summary:
**E_form**: -0.34 eV per atom
**Size of the total moment**: 0.00 μB/f.u.
**Raw total energy**: -3.92 eV per atom